! Li2Ca2Tl, optimized geometry, DFT PBE; values from VASP
&SYSTEM
  ibrav = 0, nat = 10, ntyp = 3
/
ATOMIC_SPECIES
Tl 204.38 Tl.upf
Ca 40.08 Ca.upf
Li 6.94 Li.upf
CELL_PARAMETERS angstrom
7.632 0.000 0.000
0.000 7.632 0.000
0.000 0.000 4.665
ATOMIC_POSITIONS crystal
Tl 0.000 0.000 0.000
Tl 0.500 0.500 0.000
Ca 0.187 0.687 0.500
Ca 0.687 0.813 0.500
Ca 0.813 0.313 0.500
Ca 0.313 0.187 0.500
Li 0.373 0.873 0.000
Li 0.873 0.627 0.000
Li 0.627 0.127 0.000
Li 0.127 0.373 0.000
! ΔE to the lowest computed polymorph = 0.0718 eV/atom
! raw total energy = -2.178 eV/atom
! space-group type = P4/mbm, No. 127

***

! LiCaTl6, optimized geometry, DFT PBE; values from VASP
&SYSTEM
  ibrav = 0, nat = 8, ntyp = 3
/
ATOMIC_SPECIES
Li 6.94 Li.upf
Ca 40.08 Ca.upf
Tl 204.38 Tl.upf
CELL_PARAMETERS angstrom
4.830 0.000 0.000
0.000 4.830 0.000
0.000 0.000 9.577
ATOMIC_POSITIONS crystal
Li 0.000 0.000 0.500
Ca 0.000 0.000 0.000
Tl 0.500 0.500 0.000
Tl 0.500 0.500 0.500
Tl 0.500 0.000 0.259
Tl 0.500 0.000 0.741
Tl 0.000 0.500 0.259
Tl 0.000 0.500 0.741
! raw total energy = -2.407 eV/atom
! space-group type = P4/mmm, No. 123

***

! LiCa6Tl, optimized geometry, DFT PBE; values from VASP
&SYSTEM
  ibrav = 0, nat = 8, ntyp = 3
/
ATOMIC_SPECIES
Li 6.94 Li.upf
Ca 40.08 Ca.upf
Tl 204.38 Tl.upf
CELL_PARAMETERS angstrom
7.291 0.788 0.000
2.548 6.893 0.000
1.274 3.446 6.386
ATOMIC_POSITIONS crystal
Li 0.500 0.500 0.000
Ca 0.750 0.446 0.603
Ca 0.750 0.049 0.397
Ca 0.250 0.951 0.603
Ca 0.250 0.554 0.397
Ca 0.750 0.749 0.000
Ca 0.250 0.251 0.000
Tl 0.000 0.000 0.000
! ΔE to the lowest computed polymorph = 0.1459 eV/atom
! raw total energy = -2.016 eV/atom
! space-group type = C2/m, No. 12

***

What did we get for volume? Answer: 271.7 223.5 308.1 Å³ per cell, in the order shown.